Density functional theory data (meta-GGA SCAN) for YZn2Tc at its PBEsol-relaxed geometry.

Unit cell a=3.2121 b=3.2121 c=24.4826 alpha=90.00 beta=90.00 gamma=120.00
Space group R3m (No. 160, hexagonal axes)
Symmetry-distinct sites (fractional):
Y: 0.0000 0.0000 0.0000 (multiplicity 3)
Zn: 0.0000 0.0000 0.5086 (multiplicity 3)
Zn: 0.0000 0.0000 0.7666 (multiplicity 3)
Tc: 0.0000 0.0000 0.2487 (multiplicity 3)

Calculated values
distance to the lowest polymorph of the same formula	0.445	eV/atom
final energy	-266.092	eV for the cell shown
E_form	0.31	eV per atom